# 1
Density functional theory data (PBE) for a relaxed structure of Cs3AgI2O8.

The structure in POSCAR format:
```
Cs3AgI2O8
1.0
6.540 0.000 0.000
-3.270 5.663 0.000
0.000 0.000 8.467
Cs Ag I O
3 1 2 8
Direct
0.333 0.667 0.679
0.667 0.333 0.321
0.000 0.000 0.000
0.000 0.000 0.500
0.333 0.667 0.246
0.667 0.333 0.754
0.333 0.667 0.026
0.667 0.333 0.974
0.175 0.825 0.324
0.825 0.175 0.676
0.175 0.350 0.324
0.825 0.650 0.676
0.650 0.825 0.324
0.350 0.175 0.676
```

Results
Crystal system: trigonal
Space group: P-3m1

# 2
Density functional theory data (PBE) for a relaxed structure of CsAgI2O8.

The structure in POSCAR format:
```
CsAgI2O8
1.0
-0.804 -2.324 5.490
-0.721 -6.570 0.409
6.483 -4.199 2.467
Cs Ag I O
1 1 2 8
Direct
0.500 0.500 0.500
0.000 0.000 0.000
0.293 0.244 0.170
0.707 0.756 0.830
0.873 0.572 0.681
0.679 0.568 0.073
0.127 0.428 0.319
0.321 0.432 0.927
0.608 0.047 0.219
0.392 0.953 0.781
0.126 0.047 0.219
0.874 0.953 0.781
```

Results
Crystal system: monoclinic
Space group: C2/m

# 3
Density functional theory data (PBE) for a relaxed structure of Cs2AgPI.

The structure in POSCAR format:
```
Cs2AgPI
1.0
-4.193 5.304 -1.905
-5.458 -3.231 3.019
0.924 2.162 3.984
Cs I Ag P
2 1 1 1
Direct
0.000 0.500 0.000
0.500 0.000 0.000
0.500 0.500 0.500
0.000 0.000 0.500
0.000 0.000 0.000
```

Results
Crystal system: tetragonal
Space group: P4/mmm

# 4
Density functional theory data (PBE) for a relaxed structure of Cs2AgPI6.

The structure in POSCAR format:
```
Cs2AgPI6
1.0
8.271 0.000 0.000
0.000 8.271 0.000
4.136 4.136 5.855
Cs I Ag P
2 6 1 1
Direct
0.750 0.250 0.500
0.250 0.750 0.500
0.259 0.259 0.483
0.741 0.741 0.517
0.258 0.258 0.000
0.742 0.742 0.000
0.742 0.258 0.000
0.258 0.742 0.000
0.000 0.000 0.000
0.500 0.500 0.000
```

Results
Crystal system: cubic
Space group: Fm-3m

# 5
Density functional theory data (PBE) for a relaxed structure of Cs2PaAgI6.

The structure in POSCAR format:
```
Cs2PaAgI6
1.0
-5.145 -4.890 -5.088
-4.008 -7.021 3.305
-14.089 3.986 2.921
Cs Pa Ag I
4 2 2 12
Direct
0.875 0.875 0.375
0.125 0.125 0.625
0.708 0.708 0.875
0.292 0.292 0.125
0.000 0.000 0.000
0.500 0.500 0.500
0.578 0.578 0.267
0.422 0.422 0.733
0.890 0.365 0.380
0.365 0.890 0.380
0.365 0.365 0.380
0.110 0.635 0.620
0.635 0.110 0.620
0.635 0.635 0.620
0.706 0.210 0.873
0.210 0.706 0.873
0.210 0.210 0.873
0.294 0.790 0.127
0.790 0.294 0.127
0.790 0.790 0.127
```

Results
Crystal system: trigonal
Space group: R-3m

# 6
Density functional theory data (PBE) for a relaxed structure of CsPaAg2I8.

The structure in POSCAR format:
```
CsPaAg2I8
1.0
-6.324 0.272 -3.959
-1.470 -6.676 -3.003
-6.473 -3.301 8.876
Cs Pa Ag I
1 1 2 8
Direct
0.000 0.000 0.500
0.000 0.000 0.000
0.671 0.671 0.216
0.329 0.329 0.784
0.770 0.256 0.816
0.757 0.757 0.988
0.687 0.687 0.446
0.313 0.313 0.554
0.243 0.243 0.012
0.256 0.770 0.816
0.744 0.230 0.184
0.230 0.744 0.184
```

Results
Crystal system: monoclinic
Space group: C2/m

# 7
Density functional theory data (PBE) for a relaxed structure of CsAgPb2I6.

The structure in POSCAR format:
```
CsAgPb2I6
1.0
-1.845 7.975 -2.160
-7.552 3.839 2.461
0.197 6.896 6.200
Cs Ag Pb I
1 1 2 6
Direct
0.747 0.799 0.718
0.259 0.452 0.923
0.546 0.491 0.450
0.011 0.984 0.002
0.665 0.184 0.294
0.326 0.821 0.183
0.958 0.568 0.226
0.300 0.810 0.664
0.680 0.226 0.808
0.170 0.328 0.747
```

Results
Crystal system: triclinic
Space group: P1

# 8
Density functional theory data (PBE) for a relaxed structure of CsAgPbI4.

The structure in POSCAR format:
```
CsAgPbI4
1.0
-4.809 -3.485 -4.745
5.942 -5.763 -1.790
-0.951 -3.975 9.639
Cs Ag Pb I
2 2 2 8
Direct
0.774 0.750 0.951
0.226 0.250 0.049
0.204 0.750 0.323
0.796 0.250 0.677
0.785 0.750 0.450
0.215 0.250 0.550
0.037 0.516 0.712
0.963 0.016 0.288
0.963 0.484 0.288
0.037 0.984 0.712
0.430 0.750 0.155
0.570 0.250 0.845
0.478 0.750 0.588
0.522 0.250 0.412
```

Results
Crystal system: monoclinic
Space group: P2_1/m

no.,VASP energy (eV for the cell shown)
1,-58.3
2,-51.0
3,-14.3
4,-25.9
5,-66.6
6,-37.6
7,-27.5
8,-38.0